1.
Crystalline LiFeBiPt2 at its relaxed geometry. Source: the Alexandria database, functional PBE.

The space group is P4/mmm (No. 123) and the conventional cell measures 4.389, 4.389 and 4.244 Å, with angles of 90.00, 90.00 and 90.00 degrees. The distinct sites, in fractional coordinates, are Li at (0.000, 0.000, 0.000), Fe at (0.000, 0.000, 0.500), Bi at (0.500, 0.500, 0.500) and Pt at (0.000, 0.500, 0.000).

The calculation puts the total energy at -4.844 eV/atom. The formation energy is 423 meV per atom.

2.
Crystalline LiFeBi2Te at its relaxed geometry. Source: the Alexandria database, functional PBE.

The space group is P4/mmm (No. 123) and the conventional cell measures 5.190, 5.190 and 4.717 Å, with angles of 90.00, 90.00 and 90.00 degrees. The distinct sites, in fractional coordinates, are Li at (0.000, 0.000, 0.000), Fe at (0.000, 0.000, 0.500), Bi at (0.000, 0.500, 0.000) and Te at (0.500, 0.500, 0.500).

The calculation puts the total energy at -3.656 eV/atom. As for the uncorrected formation energy: 0.600 eV per atom.

3.
Crystalline LiZn2FeBi at its relaxed geometry. Source: the Alexandria database, functional PBE.

The space group is P4/mmm (No. 123) and the conventional cell measures 4.489, 4.489 and 4.558 Å, with angles of 90.00, 90.00 and 90.00 degrees. The distinct sites, in fractional coordinates, are Li at (0.000, 0.000, 0.000), Zn at (0.000, 0.500, 0.000), Fe at (0.000, 0.000, 0.500) and Bi at (0.500, 0.500, 0.500).

The calculation puts the total energy at -2.759 eV/atom. The formation energy is 602 meV per atom.